1.
18
Lattice="7.6794 0.0000 0.0000 -3.8397 6.6505 0.0000 0.0000 0.0000 12.7374" Properties=species:S:1:pos:R:3 comment="Cs2CrBr6 (PBE, relaxed)" formation_energy_uncorrected_ev_per_atom=-1.141 vol_a3_per_atom=36.140 pbc="T T T"
Br 2.0822 3.2315 8.1108
Br 3.8397 0.1874 8.1108
Br -1.7721 5.4568 4.6184
Br 5.6118 1.1937 10.9871
Br 1.7721 5.4568 4.6184
Br -1.7575 3.4190 1.7421
Br 2.0676 1.1937 10.9871
Br 0.0000 6.4631 1.7421
Br 5.5972 3.2315 8.1108
Br 0.0000 2.3874 4.6184
Br 1.7575 3.4190 1.7421
Br 3.8397 4.2631 10.9871
Cr 3.8397 2.2168 9.5593
Cr 0.0000 4.4337 3.1906
Cs 3.8397 2.2168 4.7826
Cs 0.0000 4.4337 11.1513
Cs 0.0000 0.0000 1.6046
Cs 0.0000 0.0000 7.9733

2.
28
Lattice="-0.0957 -6.4771 4.2745 3.8982 0.1646 -6.7090 16.0289 6.0068 9.4608" Properties=species:S:1:pos:R:3 comment="Cs3Cr2Br9 (PBE, relaxed)" formation_energy_uncorrected_ev_per_atom=-1.263 vol_a3_per_atom=36.436 pbc="T T T"
Cs 16.1747 1.3352 9.4309
Cs 3.6566 -1.6409 -2.4046
Cs 10.3398 -0.8514 5.9869
Cs 4.0072 1.5017 2.3652
Cs 12.0217 4.5051 7.0956
Cs 9.4916 0.5457 1.0394
Br 7.1044 -2.8576 6.1353
Br 14.0405 4.3467 3.7757
Br 15.7271 1.5468 2.6959
Br 3.9531 -4.6384 0.1056
Br 7.1487 0.1399 4.1571
Br 10.9230 2.4757 3.9959
Br 4.1043 -1.8526 4.3304
Br 17.6823 4.4088 3.8159
Br 5.7909 -4.6524 3.2506
Br 13.9981 1.4738 5.6717
Br 15.8783 4.3327 6.9207
Br 2.1491 -4.7146 3.2105
Br 5.8333 -1.7795 1.3546
Br 8.9084 -2.7814 3.0304
Br 12.7270 2.5519 0.8910
Br 2.1933 -1.7170 1.2323
Br 12.6827 -0.4457 2.8692
Br 17.6380 1.4113 5.7940
Cr 13.2111 1.9396 3.2347
Cr 3.8653 -3.2777 2.1655
Cr 6.6203 -2.2453 3.7916
Cr 15.9660 2.9720 4.8608

What did the first record say?
18
Lattice="7.6794 0.0000 0.0000 -3.8397 6.6505 0.0000 0.0000 0.0000 12.7374" Properties=species:S:1:pos:R:3 comment="Cs2CrBr6 (PBE, relaxed)" formation_energy_uncorrected_ev_per_atom=-1.141 vol_a3_per_atom=36.140 pbc="T T T"
Br 2.0822 3.2315 8.1108
Br 3.8397 0.1874 8.1108
Br -1.7721 5.4568 4.6184
Br 5.6118 1.1937 10.9871
Br 1.7721 5.4568 4.6184
Br -1.7575 3.4190 1.7421
Br 2.0676 1.1937 10.9871
Br 0.0000 6.4631 1.7421
Br 5.5972 3.2315 8.1108
Br 0.0000 2.3874 4.6184
Br 1.7575 3.4190 1.7421
Br 3.8397 4.2631 10.9871
Cr 3.8397 2.2168 9.5593
Cr 0.0000 4.4337 3.1906
Cs 3.8397 2.2168 4.7826
Cs 0.0000 4.4337 11.1513
Cs 0.0000 0.0000 1.6046
Cs 0.0000 0.0000 7.9733